LiCoPO4 (PBE with a Hubbard U, optimized geometry); crystal system = hexagonal; symmetry = P6_422, No. 181; total energy = -6.58 eV per atom
1.0
-6.162 0.923 8.593
8.219 -6.715 0.060
7.254 8.917 4.244
O P Li Co
48 12 12 12
direct
0.403 0.103 0.398
0.597 0.897 0.398
0.395 0.280 0.715
0.874 0.811 0.757
0.811 0.874 0.577
0.798 0.418 0.075
0.300 0.897 0.602
0.798 0.380 0.591
0.720 0.114 0.048
0.700 0.103 0.602
0.720 0.605 0.618
0.380 0.582 0.925
0.189 0.126 0.577
0.189 0.063 0.090
0.620 0.418 0.925
0.605 0.886 0.952
0.605 0.720 0.715
0.202 0.620 0.591
0.114 0.720 0.285
0.897 0.597 0.936
0.403 0.300 0.269
0.114 0.395 0.382
0.300 0.403 0.064
0.126 0.937 0.910
0.886 0.280 0.285
0.280 0.395 0.618
0.897 0.300 0.731
0.582 0.202 0.258
0.063 0.189 0.243
0.937 0.811 0.243
0.126 0.189 0.757
0.418 0.620 0.409
0.380 0.798 0.742
0.582 0.380 0.409
0.811 0.937 0.090
0.597 0.700 0.269
0.280 0.886 0.048
0.874 0.063 0.910
0.103 0.700 0.731
0.202 0.582 0.075
0.395 0.114 0.952
0.937 0.126 0.423
0.418 0.798 0.258
0.886 0.605 0.382
0.700 0.597 0.064
0.063 0.874 0.423
0.620 0.202 0.742
0.103 0.403 0.936
0.756 0.000 0.000
0.753 0.247 0.667
0.494 0.247 0.333
0.244 0.244 0.667
0.247 0.494 0.000
0.244 0.000 0.000
0.756 0.756 0.667
0.000 0.244 0.333
0.000 0.756 0.333
0.247 0.753 0.667
0.506 0.753 0.333
0.753 0.506 0.000
0.500 0.000 0.671
0.000 0.500 0.663
0.500 0.500 0.667
0.000 0.500 0.004
0.500 0.500 0.996
0.000 0.000 0.167
0.000 0.000 0.833
0.000 0.500 0.333
0.500 0.000 0.329
0.000 0.000 0.500
0.500 0.500 0.337
0.500 0.000 0.000
0.753 0.000 0.500
0.250 0.500 0.500
0.500 0.750 0.833
0.000 0.753 0.833
0.753 0.753 0.167
0.250 0.750 0.167
0.500 0.250 0.833
0.247 0.247 0.167
0.750 0.250 0.167
0.247 0.000 0.500
0.750 0.500 0.500
0.000 0.247 0.833